A plane-wave DFT calculation with PBE-GGA was carried out for In5Au after structural relaxation.

a = 6.078 Å, b = 6.078 Å, c = 8.029 Å
α = 72.39°, β = 72.39°, γ = 32.76°
Element x y z (fractional)
In  0.304  0.304  0.360
In  0.641  0.641  0.748
In  0.617  0.617  0.208
In  0.970  0.970  0.557
In  0.326  0.326  0.906
Au  0.974  0.974  0.054

Calculated values
The total magnetization comes out at 0.00 μB per cell. Its energy is -17.2 eV for the cell shown. As for the volume: 25.4 A^3/atom. The value obtained for the energy above the lowest structure with this stoichiometry is 0.0 meV per atom. As for the theoretical density: 8.41 g/cm³.